No. 1
Material: InHg2
Method: DFT, PBE
State: optimized geometry

Cell lengths 3.4292, 3.4292, 27.9215 Å; angles 90.00, 90.00, 90.00 degrees
Space group I4_1/amd (No. 141, origin choice 2)
One atom of each set of equivalent atoms:
1 In 0.0000 0.2500 0.3750 [4 per cell]
2 Hg 0.0000 0.2500 0.7959 [8 per cell]

Values from the calculation:
D(E_F): 1.10 states/eV/f.u.
calculated total energy: -13.2 eV/cell
total moment: 0.00 μB per atom
ΔE_f: 15 meV per atom


No. 2
Material: SrCoSb3
Method: DFT, PBE
State: optimized geometry

Cell lengths 5.9390, 5.9390, 5.9390 Å; angles 90.00, 90.00, 90.00 degrees
Space group Pm-3m (No. 221)
One atom of each set of equivalent atoms:
1 Sr 0.0000 0.0000 0.0000 [1 per cell]
2 Co 0.5000 0.5000 0.5000 [1 per cell]
3 Sb 0.0000 0.0000 0.5000 [3 per cell]

Values from the calculation:
D(E_F): 10.88 states/eV/f.u.
calculated total energy: -13.9 eV/cell
excess energy over the best structure of this formula in the dataset: 1.564 eV per atom
total moment: 0.49 μB per atom
energy relative to the elements, uncorrected: 139.5 kJ/mol of atoms


No. 3
Material: YCuOs2
Method: DFT, PBE
State: optimized geometry

Cell lengths 9.5398, 2.9662, 4.8485 Å; angles 90.00, 104.19, 90.00 degrees
Space group C2/m (No. 12)
One atom of each set of equivalent atoms:
1 Y 0.0000 0.0000 0.0000 [2 per cell]
2 Cu 0.0000 0.5000 0.5000 [2 per cell]
3 Os 0.2311 0.0000 0.7065 [4 per cell]

Values from the calculation:
D(E_F): 3.68 states/eV/f.u.
calculated total energy: -63.7 eV/cell
excess energy over the best structure of this formula in the dataset: 0.115 eV per atom
total moment: 0.00 μB per atom
ΔE_f: 290 meV per atom